Entry 1:
This record from the Alexandria database describes a relaxed La2GaFeO6 crystal. The functional is PBEsol.

V (Å³/atom): 11.3
E_tot (eV/atom): -7.994
Energy relative to the elements, uncorrected (meV/atom): -2545
SG: P2_1/c (14)
Total magnetic moment (μB/atom): 0.10

Lattice parameters (Å, degrees): 5.463 5.394 7.642 90.00 89.78 90.00
Last column: magnetic moment on the atom in μB.
Sites, in units of the cell vectors:
O (0.735, 0.728, 0.036)  0.01
O (0.773, 0.234, 0.036)  0.01
O (0.433, 0.004, 0.253)  0.01
O (0.265, 0.272, 0.964)  0.01
O (0.067, 0.504, 0.247)  0.01
O (0.235, 0.772, 0.536)  0.01
O (0.933, 0.496, 0.753)  0.01
O (0.567, 0.996, 0.747)  0.01
O (0.273, 0.266, 0.536)  0.01
O (0.765, 0.228, 0.464)  0.01
O (0.227, 0.766, 0.964)  0.01
O (0.727, 0.734, 0.464)  0.01
Fe (0.000, 0.500, 0.000)  0.90
Fe (0.500, 0.000, 0.500)  0.90
Ga (0.000, 0.500, 0.500)  -0.01
Ga (0.500, 0.000, 0.000)  -0.01
La (0.996, 0.982, 0.249)  0.00
La (0.496, 0.518, 0.749)  0.00
La (0.504, 0.482, 0.251)  0.00
La (0.004, 0.018, 0.751)  0.00

---

Entry 2:
This record from the Alexandria database describes a relaxed LiGaFe2N crystal. The functional is PBEsol.

V (Å³/atom): 11.3
E_tot (eV/atom): -5.303
Energy relative to the elements, uncorrected (meV/atom): 1049
SG: P4/mmm (123)
Total magnetic moment (μB/atom): 1.04

Lattice parameters (Å, degrees): 3.282 4.142 4.142 90.00 90.00 90.00
Last column: magnetic moment on the atom in μB.
Sites, in units of the cell vectors:
Fe (0.000, 0.500, 0.000)  2.61
Fe (0.000, 0.000, 0.500)  2.61
N (0.500, 0.000, 0.000)  0.09
Li (0.000, 0.000, 0.000)  -0.01
Ga (0.500, 0.500, 0.500)  -0.14

---

Entry 3:
This record from the Alexandria database describes a relaxed MgGa2Fe2 crystal. The functional is PBEsol.

V (Å³/atom): 14.8
E_tot (eV/atom): -5.240
SG: I4/mmm (139)
Total magnetic moment (μB/atom): 0.72

Lattice parameters (Å, degrees): 3.592 3.592 6.265 106.66 106.66 90.00
Last column: magnetic moment on the atom in μB.
Sites, in units of the cell vectors:
Ga (0.392, 0.392, 0.783)  -0.10
Ga (0.608, 0.608, 0.217)  -0.10
Fe (0.250, 0.750, 0.500)  1.98
Fe (0.750, 0.250, 0.500)  1.98
Mg (0.000, 0.000, 0.000)  -0.01